<1>
This record from Alexandria describes a relaxed Cd8HgPd2 crystal. The functional is PBE.

```
data_Cd8HgPd2
_chemical_formula_sum 'Cd8 Hg1 Pd2'
_cell_length_a 4.556
_cell_length_b 7.415
_cell_length_c 8.041
_cell_angle_alpha 117.46
_cell_angle_beta 106.46
_cell_angle_gamma 90.00
_space_group_name_H-M_alt 'P 1'
_space_group_IT_number 1
_space_group_name_Hall 'P 1'
loop_
_atom_site_label
_atom_site_fract_x
_atom_site_fract_y
_atom_site_fract_z
_atom_site_occupancy
Cd1 0.000 0.693 0.000 1
Pd1 0.811 0.311 0.622 1
Cd2 0.656 0.875 0.313 1
Pd2 0.189 0.689 0.378 1
Cd3 0.838 0.838 0.677 1
Cd4 0.344 0.562 0.687 1
Cd5 0.656 0.438 0.313 1
Cd6 0.162 0.162 0.323 1
Cd7 0.344 0.125 0.687 1
Hg1 0.500 0.000 0.000 1
Cd8 0.000 0.307 0.000 1
```

=====

<2>
This record from Alexandria describes a relaxed Cd8HgPd2 crystal. The functional is PBE.

```
data_Cd8HgPd2
_chemical_formula_sum 'Cd8 Hg1 Pd2'
_cell_length_a 5.315
_cell_length_b 7.079
_cell_length_c 7.079
_cell_angle_alpha 109.26
_cell_angle_beta 94.86
_cell_angle_gamma 94.86
_space_group_name_H-M_alt 'P 1'
_space_group_IT_number 1
_space_group_name_Hall 'P 1'
loop_
_atom_site_label
_atom_site_fract_x
_atom_site_fract_y
_atom_site_fract_z
_atom_site_occupancy
Pd1 0.000 0.329 0.671 1
Cd1 0.500 0.734 0.266 1
Cd2 0.500 0.266 0.734 1
Cd3 0.884 0.683 0.944 1
Cd4 0.677 0.356 0.356 1
Cd5 0.884 0.944 0.683 1
Cd6 0.323 0.644 0.644 1
Cd7 0.116 0.317 0.056 1
Hg1 0.500 0.000 0.000 1
Cd8 0.116 0.056 0.317 1
Pd2 0.000 0.671 0.329 1
```

=====

The data favor <1>; the next most stable structure lies 29 meV/atom above it.

=====

<1>
This record from Alexandria describes a relaxed CdHgPd3 crystal. The functional is PBE.

```
data_CdHgPd3
_chemical_formula_sum 'Cd4 Hg4 Pd12'
_cell_length_a 7.337
_cell_length_b 6.988
_cell_length_c 7.212
_cell_angle_alpha 90.00
_cell_angle_beta 90.00
_cell_angle_gamma 90.00
_space_group_name_H-M_alt 'P 1'
_space_group_IT_number 1
_space_group_name_Hall 'P 1'
loop_
_atom_site_label
_atom_site_fract_x
_atom_site_fract_y
_atom_site_fract_z
_atom_site_occupancy
Hg1 0.000 0.500 0.000 1
Pd1 0.631 0.291 0.750 1
Pd2 0.359 0.362 0.045 1
Pd3 0.641 0.638 0.545 1
Hg2 0.500 0.000 0.500 1
Pd4 0.141 0.862 0.955 1
Cd1 0.670 0.402 0.250 1
Pd5 0.869 0.791 0.250 1
Pd6 0.859 0.138 0.455 1
Pd7 0.141 0.862 0.545 1
Pd8 0.131 0.209 0.750 1
Pd9 0.641 0.638 0.955 1
Cd2 0.170 0.098 0.250 1
Cd3 0.330 0.598 0.750 1
Hg3 0.500 0.000 0.000 1
Pd10 0.359 0.362 0.455 1
Hg4 0.000 0.500 0.500 1
Pd11 0.859 0.138 0.045 1
Cd4 0.830 0.902 0.750 1
Pd12 0.369 0.709 0.250 1
```

=====

<2>
This record from Alexandria describes a relaxed CdHgPd3 crystal. The functional is PBE.

```
data_CdHgPd3
_chemical_formula_sum 'Cd1 Hg1 Pd3'
_cell_length_a 4.981
_cell_length_b 4.981
_cell_length_c 4.981
_cell_angle_alpha 90.00
_cell_angle_beta 90.00
_cell_angle_gamma 90.00
_space_group_name_H-M_alt 'P 1'
_space_group_IT_number 1
_space_group_name_Hall 'P 1'
loop_
_atom_site_label
_atom_site_fract_x
_atom_site_fract_y
_atom_site_fract_z
_atom_site_occupancy
Cd1 0.000 0.000 0.000 1
Pd1 0.000 0.500 0.000 1
Pd2 0.000 0.000 0.500 1
Hg1 0.500 0.500 0.500 1
Pd3 0.500 0.000 0.000 1
```

=====

The data favor <1>; the next most stable structure lies 778 meV/atom above it.

=====

<1>
This record from Alexandria describes a relaxed Cd2HgPd8 crystal. The functional is PBE.

```
data_Cd2HgPd8
_chemical_formula_sum 'Cd2 Hg1 Pd8'
_cell_length_a 4.104
_cell_length_b 6.390
_cell_length_c 7.511
_cell_angle_alpha 105.30
_cell_angle_beta 105.85
_cell_angle_gamma 90.00
_space_group_name_H-M_alt 'P 1'
_space_group_IT_number 1
_space_group_name_Hall 'P 1'
loop_
_atom_site_label
_atom_site_fract_x
_atom_site_fract_y
_atom_site_fract_z
_atom_site_occupancy
Pd1 0.957 0.277 0.914 1
Pd2 0.861 0.817 0.722 1
Pd3 0.043 0.723 0.086 1
Pd4 0.139 0.183 0.278 1
Pd5 0.591 0.458 0.183 1
Hg1 0.500 0.000 0.000 1
Pd6 0.409 0.542 0.817 1
Cd1 0.775 0.354 0.550 1
Pd7 0.680 0.908 0.360 1
Cd2 0.225 0.646 0.450 1
Pd8 0.320 0.092 0.640 1
```

=====

<2>
This record from Alexandria describes a relaxed Cd2HgPd8 crystal. The functional is PBE.

```
data_Cd2HgPd8
_chemical_formula_sum 'Cd2 Hg1 Pd8'
_cell_length_a 3.969
_cell_length_b 8.307
_cell_length_c 7.439
_cell_angle_alpha 123.94
_cell_angle_beta 105.47
_cell_angle_gamma 90.00
_space_group_name_H-M_alt 'P 1'
_space_group_IT_number 1
_space_group_name_Hall 'P 1'
loop_
_atom_site_label
_atom_site_fract_x
_atom_site_fract_y
_atom_site_fract_z
_atom_site_occupancy
Pd1 0.667 0.919 0.335 1
Hg1 0.500 0.000 0.000 1
Pd2 0.825 0.825 0.651 1
Cd1 0.151 0.651 0.302 1
Pd3 0.000 0.244 0.000 1
Cd2 0.849 0.349 0.698 1
Pd4 0.333 0.081 0.665 1
Pd5 0.667 0.416 0.335 1
Pd6 0.333 0.584 0.665 1
Pd7 0.175 0.175 0.349 1
Pd8 0.000 0.756 0.000 1
```

=====

The data favor <1>; the next most stable structure lies 83 meV/atom above it.

=====

<1>
This record from Alexandria describes a relaxed Cd2HgPd6 crystal. The functional is PBE.

```
data_Cd2HgPd6
_chemical_formula_sum 'Cd2 Hg1 Pd6'
_cell_length_a 4.517
_cell_length_b 5.528
_cell_length_c 7.421
_cell_angle_alpha 111.87
_cell_angle_beta 107.84
_cell_angle_gamma 90.00
_space_group_name_H-M_alt 'P 1'
_space_group_IT_number 1
_space_group_name_Hall 'P 1'
loop_
_atom_site_label
_atom_site_fract_x
_atom_site_fract_y
_atom_site_fract_z
_atom_site_occupancy
Hg1 0.000 0.000 0.000 1
Pd1 0.793 0.793 0.585 1
Pd2 0.604 0.349 0.209 1
Pd3 0.604 0.860 0.209 1
Cd1 0.170 0.670 0.341 1
Pd4 0.396 0.140 0.791 1
Pd5 0.396 0.651 0.791 1
Cd2 0.830 0.330 0.659 1
Pd6 0.207 0.207 0.415 1
```

=====

<2>
This record from Alexandria describes a relaxed Cd2HgPd6 crystal. The functional is PBE.

```
data_Cd2HgPd6
_chemical_formula_sum 'Cd2 Hg1 Pd6'
_cell_length_a 2.861
_cell_length_b 7.827
_cell_length_c 8.212
_cell_angle_alpha 118.46
_cell_angle_beta 100.01
_cell_angle_gamma 90.00
_space_group_name_H-M_alt 'P 1'
_space_group_IT_number 1
_space_group_name_Hall 'P 1'
loop_
_atom_site_label
_atom_site_fract_x
_atom_site_fract_y
_atom_site_fract_z
_atom_site_occupancy
Pd1 0.500 0.686 0.000 1
Pd2 0.830 0.024 0.666 1
Pd3 0.170 0.976 0.334 1
Cd1 0.674 0.667 0.335 1
Pd4 0.170 0.358 0.334 1
Hg1 0.000 0.000 0.000 1
Pd5 0.500 0.314 0.000 1
Cd2 0.326 0.333 0.665 1
Pd6 0.830 0.642 0.666 1
```

=====

The data favor <1>; the next most stable structure lies 27 meV/atom above it.